Entry 1:
Here is a geometry-optimized CdPAuCl2 structure from Alexandria via LeMat-Bulk. Energies are from PBE.

## Properties
Space group: P4/mmm (123)
E in eV/f.u.: -10.8
Crystal system: tetragonal

abc: 5.0284 5.0284 5.3705
angles: 90.00 90.00 90.00
Last column: magnetic moment on the atom in μB.
Fractional positions:
P (0.0000, 0.0000, 0.5000)  0.58
Cl (0.0000, 0.5000, 0.0000)  0.08
Cl (0.5000, 0.0000, 0.0000)  0.08
Au (0.5000, 0.5000, 0.5000)  -0.01
Cd (0.0000, 0.0000, 0.0000)  0.02

---

Entry 2:
Here is a geometry-optimized CdP2AuCl structure from Alexandria via LeMat-Bulk. Energies are from PBE.

## Properties
Space group: P4/mmm (123)
E in eV/f.u.: -11.7
Crystal system: tetragonal

abc: 5.0531 5.0531 5.0801
angles: 90.00 90.00 90.00
Last column: magnetic moment on the atom in μB.
Fractional positions:
P (0.0000, 0.5000, 0.0000)  0.36
P (0.5000, 0.0000, 0.0000)  0.36
Cl (0.0000, 0.0000, 0.5000)  0.13
Au (0.5000, 0.5000, 0.5000)  0.01
Cd (0.0000, 0.0000, 0.0000)  0.01

---

Entry 3:
Here is a geometry-optimized CdRu2AuCl structure from Alexandria via LeMat-Bulk. Energies are from PBE.

## Properties
Space group: P4/mmm (123)
E in eV/f.u.: -15.6
Crystal system: tetragonal

abc: 5.1244 4.8655 5.1244
angles: 90.00 90.00 90.00
Last column: magnetic moment on the atom in μB.
Fractional positions:
Ru (0.0000, 0.0000, 0.5000)  2.30
Ru (0.5000, 0.0000, 0.0000)  2.12
Cl (0.0000, 0.5000, 0.0000)  0.06
Au (0.5000, 0.5000, 0.5000)  0.01
Cd (0.0000, 0.0000, 0.0000)  -0.01

---

Entry 4:
Here is a geometry-optimized CdAuS2Cl structure from Alexandria via LeMat-Bulk. Energies are from PBE.

## Properties
Space group: P4/mmm (123)
E in eV/f.u.: -12.7
Crystal system: tetragonal

abc: 4.9068 4.9068 4.9020
angles: 90.00 90.00 90.00
Fractional positions:
S (0.0000, 0.5000, 0.0000)
S (0.5000, 0.0000, 0.0000)
Cl (0.0000, 0.0000, 0.5000)
Au (0.0000, 0.0000, 0.0000)
Cd (0.5000, 0.5000, 0.5000)

---

Entry 5:
Here is a geometry-optimized CdAuSCl2 structure from Alexandria via LeMat-Bulk. Energies are from PBE.

## Properties
Space group: P4/mmm (123)
E in eV/f.u.: -11.7
Crystal system: tetragonal

abc: 4.8952 4.8952 5.1272
angles: 90.00 90.00 90.00
Fractional positions:
S (0.0000, 0.0000, 0.5000)
Cl (0.0000, 0.5000, 0.0000)
Cl (0.5000, 0.0000, 0.0000)
Au (0.0000, 0.0000, 0.0000)
Cd (0.5000, 0.5000, 0.5000)

---

Entry 6:
Here is a geometry-optimized CdAuSCl2 structure from Alexandria via LeMat-Bulk. Energies are from PBE.

## Properties
Space group: P4/mmm (123)
E in eV/f.u.: -10.7
Crystal system: tetragonal

abc: 5.0726 5.0726 5.2245
angles: 90.00 90.00 90.00
Last column: magnetic moment on the atom in μB.
Fractional positions:
S (0.0000, 0.0000, 0.5000)  0.49
Cl (0.0000, 0.5000, 0.0000)  0.06
Cl (0.5000, 0.0000, 0.0000)  0.06
Au (0.5000, 0.5000, 0.5000)  0.02
Cd (0.0000, 0.0000, 0.0000)  0.01

---

Entry 7:
Here is a geometry-optimized CdSbAuCl2 structure from Alexandria via LeMat-Bulk. Energies are from PBE.

## Properties
Space group: P4/mmm (123)
E in eV/f.u.: -11.8
Crystal system: tetragonal

abc: 5.1162 5.9303 5.1162
angles: 90.00 90.00 90.00
Fractional positions:
Sb (0.0000, 0.0000, 0.0000)
Cl (0.0000, 0.0000, 0.5000)
Cl (0.5000, 0.0000, 0.0000)
Au (0.5000, 0.5000, 0.5000)
Cd (0.0000, 0.5000, 0.0000)

---

Entry 8:
Here is a geometry-optimized CdSnAu2Cl structure from Alexandria via LeMat-Bulk. Energies are from PBE.

## Properties
Space group: P4/mmm (123)
E in eV/f.u.: -13.0
Crystal system: tetragonal

abc: 5.2745 5.3524 5.2745
angles: 90.00 90.00 90.00
Fractional positions:
Cl (0.0000, 0.5000, 0.0000)
Au (0.0000, 0.0000, 0.5000)
Au (0.5000, 0.0000, 0.0000)
Sn (0.0000, 0.0000, 0.0000)
Cd (0.5000, 0.5000, 0.5000)

---

Entry 9:
Here is a geometry-optimized CdTeAu2Cl structure from Alexandria via LeMat-Bulk. Energies are from PBE.

## Properties
Space group: P4/mmm (123)
E in eV/f.u.: -9.7
Crystal system: tetragonal

abc: 4.7066 7.6205 4.7066
angles: 90.00 90.00 90.00
Fractional positions:
Cl (0.0000, 0.0000, 0.0000)
Te (0.0000, 0.5000, 0.0000)
Au (0.0000, 0.0000, 0.5000)
Au (0.5000, 0.0000, 0.0000)
Cd (0.5000, 0.5000, 0.5000)

---

Entry 10:
Here is a geometry-optimized VCdAuCl2 structure from Alexandria via LeMat-Bulk. Energies are from PBE.

## Properties
Space group: P4/mmm (123)
E in eV/f.u.: -18.4
Crystal system: tetragonal

abc: 4.6221 5.7130 4.6221
angles: 90.00 90.00 90.00
Last column: magnetic moment on the atom in μB.
Fractional positions:
Cl (0.0000, 0.0000, 0.5000)  -0.02
Cl (0.5000, 0.0000, 0.0000)  -0.01
V (0.0000, 0.0000, 0.0000)  2.29
Au (0.0000, 0.5000, 0.0000)  0.01
Cd (0.5000, 0.5000, 0.5000)  -0.01

---

Entry 11:
Here is a geometry-optimized CdCo2Au structure from Alexandria via LeMat-Bulk. Energies are from PBE.

## Properties
Space group: R3m (160)
Calculated formation energy in eV per atom: 0.236
Crystal system: trigonal

abc: 9.1275 9.1275 9.1275
angles: 17.74 17.74 17.74
Last column: magnetic moment on the atom in μB.
Fractional positions:
Au (0.5082, 0.5082, 0.5082)  0.01
Cd (0.7433, 0.7433, 0.7433)  -0.01
Co (0.9900, 0.9900, 0.9900)  1.74
Co (0.2585, 0.2585, 0.2585)  1.80

---

Entry 12:
Here is a geometry-optimized Cd2CoAu structure from Alexandria via LeMat-Bulk. Energies are from PBE.

## Properties
Space group: P4mm (99)
Calculated formation energy in eV per atom: 0.152
Crystal system: tetragonal

abc: 3.0827 3.0827 7.5146
angles: 90.00 90.00 90.00
Last column: magnetic moment on the atom in μB.
Fractional positions:
Au (0.5000, 0.5000, 0.7180)  0.03
Cd (0.0000, 0.0000, 0.9831)  0.01
Cd (0.5000, 0.5000, 0.2850)  -0.02
Co (0.0000, 0.0000, 0.5138)  1.64

---

Entry 13:
Here is a geometry-optimized CdCoAu3 structure from Alexandria via LeMat-Bulk. Energies are from PBE.

## Properties
Space group: Pm-3m (221)
Calculated formation energy in eV per atom: 0.600
Crystal system: cubic

abc: 4.8007 4.8007 4.8007
angles: 90.00 90.00 90.00
Last column: magnetic moment on the atom in μB.
Fractional positions:
Co (0.0000, 0.0000, 0.0000)  1.72
Au (0.0000, 0.5000, 0.0000)  0.05
Au (0.0000, 0.0000, 0.5000)  0.14
Au (0.5000, 0.0000, 0.0000)  0.02
Cd (0.5000, 0.5000, 0.5000)  0.01

---

Entry 14:
Here is a geometry-optimized Cd2CoAu structure from Alexandria via LeMat-Bulk. Energies are from PBE.

## Properties
Space group: I4/mmm (139)
Calculated formation energy in eV per atom: 0.159
Crystal system: tetragonal

abc: 4.9373 4.9373 4.9373
angles: 129.44 129.47 74.27
Last column: magnetic moment on the atom in μB.
Fractional positions:
Au (0.2500, 0.7500, 0.5000)  0.00
Cd (0.0000, 0.0000, 0.0000)  -0.02
Cd (0.5000, 0.5000, 0.0000)  -0.02
Co (0.7500, 0.2500, 0.5000)  1.36

---

Entry 15:
Here is a geometry-optimized Cd2CoAu structure from Alexandria via LeMat-Bulk. Energies are from PBE.

## Properties
Space group: Fm-3m (225)
Calculated formation energy in eV per atom: 0.161
Crystal system: cubic

abc: 4.6303 4.6303 4.6303
angles: 60.00 60.00 60.00
Last column: magnetic moment on the atom in μB.
Fractional positions:
Co (0.0000, 0.0000, 0.0000)  1.36
Au (0.5000, 0.5000, 0.5000)  0.00
Cd (0.2500, 0.2500, 0.2500)  -0.03
Cd (0.7500, 0.7500, 0.7500)  -0.03

---

Entry 16:
Here is a geometry-optimized Cd2CoAu structure from Alexandria via LeMat-Bulk. Energies are from PBE.

## Properties
Space group: Pm (6)
Calculated formation energy in eV per atom: 0.167
Crystal system: monoclinic

abc: 4.4883 2.9357 5.6535
angles: 73.78 90.00 90.00
Last column: magnetic moment on the atom in μB.
Fractional positions:
Au (0.5000, 0.5509, 0.7541)  0.01
Cd (0.0000, 0.9404, 0.9684)  -0.01
Cd (0.5000, 0.3006, 0.2945)  -0.02
Co (0.0000, 0.7081, 0.4830)  1.59

---

Entry 17:
Here is a geometry-optimized CdCo2Au structure from Alexandria via LeMat-Bulk. Energies are from PBE.

## Properties
Space group: P4/mmm (123)
Calculated formation energy in eV per atom: 0.300
Crystal system: tetragonal

abc: 3.9366 3.9364 3.8788
angles: 90.00 90.00 90.00
Last column: magnetic moment on the atom in μB.
Fractional positions:
Au (0.5000, 0.0000, 0.5000)  0.00
Cd (0.0000, 0.5000, 0.5000)  -0.04
Co (0.0000, 0.0000, 0.0000)  1.56
Co (0.5000, 0.5000, 0.0000)  1.56

---

Entry 18:
Here is a geometry-optimized CdCo2Au structure from Alexandria via LeMat-Bulk. Energies are from PBE.

## Properties
Space group: I4/mmm (139)
Calculated formation energy in eV per atom: 0.299
Crystal system: tetragonal

abc: 4.7672 4.7672 4.7672
angles: 131.09 131.09 71.67
Last column: magnetic moment on the atom in μB.
Fractional positions:
Au (0.2500, 0.7500, 0.5000)  0.04
Cd (0.7500, 0.2500, 0.5000)  -0.04
Co (0.0000, 0.0000, 0.0000)  1.65
Co (0.5000, 0.5000, 0.0000)  1.65

---

Entry 19:
Here is a geometry-optimized Cd2CoAu structure from Alexandria via LeMat-Bulk. Energies are from PBE.

## Properties
Space group: P4/mmm (123)
Calculated formation energy in eV per atom: 0.127
Crystal system: tetragonal

abc: 4.2325 4.2341 3.9090
angles: 90.00 90.00 90.00
Last column: magnetic moment on the atom in μB.
Fractional positions:
Au (0.0000, 0.5000, 0.5000)  -0.01
Cd (0.0000, 0.0000, 0.0000)  -0.02
Cd (0.5000, 0.5000, 0.0000)  -0.02
Co (0.5000, 0.0000, 0.5000)  1.49

---

Entry 20:
Here is a geometry-optimized CdCo2Au structure from Alexandria via LeMat-Bulk. Energies are from PBE.

## Properties
Space group: P4/mmm (123)
Calculated formation energy in eV per atom: 0.342
Crystal system: tetragonal

abc: 2.8313 2.8313 7.5355
angles: 90.00 90.00 90.01
Last column: magnetic moment on the atom in μB.
Fractional positions:
Au (0.5000, 0.5000, 0.2500)  0.05
Cd (0.5000, 0.5000, 0.7500)  -0.04
Co (0.0000, 0.0000, 0.0103)  1.61
Co (0.0000, 0.0000, 0.4897)  1.61

---

| no. | total magnetic moment (μB per formula unit) |
| --- | --- |
| 1 | 1.5 |
| 2 | 1.7 |
| 3 | 4.8 |
| 4 | 0.0 |
| 5 | 0.0 |
| 6 | 0.9 |
| 7 | 0.0 |
| 8 | 0.0 |
| 9 | 0.0 |
| 10 | 2.6 |
| 11 | 3.5 |
| 12 | 1.6 |
| 13 | 2.0 |
| 14 | 1.3 |
| 15 | 1.2 |
| 16 | 1.5 |
| 17 | 3.0 |
| 18 | 3.2 |
| 19 | 1.4 |
| 20 | 3.1 |